1.
SbP2Ru | GGA-PBE | relaxed

Results
- D(E_F) (states/eV per atom) = 0.259
- energy relative to the elements, uncorrected (meV/atom) = 118
- space-group type = R3m (160)
- E (eV/cell) = -23.75

abc: 7.1299 7.1299 7.1299
angles: 29.17 29.17 29.17
With the nearest neighbours (Å) after each atom.
Fractional positions:
Sb: 0.7471 0.7471 0.7471  3 P 2.58
Ru: 0.5174 0.5174 0.5174  3 P 2.28
P: 0.2303 0.2303 0.2303  3 Ru 2.28
P: 0.0052 0.0052 0.0052  3 Sb 2.58

---

2.
SbP2Ru | GGA-PBE | relaxed

Results
- D(E_F) (states/eV per atom) = 0.652
- energy relative to the elements, uncorrected (meV/atom) = 94
- space-group type = P4mm (99)
- E (eV/cell) = -23.84

abc: 3.1184 3.1184 7.3751
angles: 90.00 90.00 90.02
With the nearest neighbours (Å) after each atom.
Fractional positions:
P: 0.0000 0.0000 0.1120  4 P 2.43, 1 Ru 2.47
P: 0.5000 0.5000 0.2508  4 P 2.43, 4 Ru 2.64
Sb: 0.5000 0.5000 0.6904  4 Ru 2.84, 4 Sb 3.12
Ru: 0.0000 0.0000 0.4468  5 P 2.47-2.64

---

3.
SbPRu2 | GGA-PBE | relaxed

Results
- distance to the lowest polymorph of the same formula (eV per atom) = 0.165
- D(E_F) (states/eV per atom) = 0.781
- energy relative to the elements, uncorrected (meV/atom) = -56
- space-group type = R-3m (166)
- E (eV/cell) = -28.31

abc: 7.8946 7.8946 7.8946
angles: 22.44 22.44 22.44
With the nearest neighbours (Å) after each atom.
Fractional positions:
Ru: 0.7381 0.7381 0.7381  3 P 2.42
Sb: 0.5000 0.5000 0.5000  6 Ru 2.82, 6 Sb 3.07
P: 0.0000 0.0000 0.0000  6 Ru 2.42
Ru: 0.2619 0.2619 0.2619  3 P 2.42

---

4.
SbP4Ru | GGA-PBE | relaxed

Results
- D(E_F) (states/eV per atom) = 0.840
- energy relative to the elements, uncorrected (meV/atom) = 858
- space-group type = F-43m (216)
- E (eV/cell) = -29.89

abc: 5.1650 5.1650 5.1650
angles: 60.00 60.00 60.00
With the nearest neighbours (Å) after each atom.
Fractional positions:
Sb: 0.0000 0.0000 0.0000  12 P 3.02, 4 Ru 3.16
P: 0.3705 0.3705 0.8884  6 P 2.49-2.67
P: 0.8884 0.3705 0.3705  6 P 2.49-2.67
Ru: 0.7500 0.7500 0.7500  12 P 3.04, 4 Sb 3.16
P: 0.3705 0.3705 0.3705  6 P 2.49-2.67
P: 0.3705 0.8884 0.3705  6 P 2.49-2.67

---

5.
SbPRu2 | GGA-PBE | relaxed

Results
- distance to the lowest polymorph of the same formula (eV per atom) = 0.260
- D(E_F) (states/eV per atom) = 0.429
- energy relative to the elements, uncorrected (meV/atom) = 40
- space-group type = Immm (71)
- E (eV/cell) = -27.92

abc: 4.8291 4.8291 4.8291
angles: 137.82 115.61 80.02
With the nearest neighbours (Å) after each atom.
Fractional positions:
P: 0.5000 0.0000 0.5000  4 Ru 2.26
Ru: 0.3050 0.3050 0.0000  2 P 2.26
Sb: 0.0000 0.5000 0.5000  8 Ru 2.85-2.95, 4 P 3.10
Ru: 0.6950 0.6950 0.0000  2 P 2.26

---

6.
SbP2Ru | GGA-PBE | relaxed

Results
- D(E_F) (states/eV per atom) = 0.763
- energy relative to the elements, uncorrected (meV/atom) = 80
- space-group type = R-3m (166)
- E (eV/cell) = -23.90

abc: 8.2954 8.2954 8.2954
angles: 22.09 22.09 22.09
With the nearest neighbours (Å) after each atom.
Fractional positions:
P: 0.9822 0.9822 0.9822  3 Ru 2.43
Ru: 0.2500 0.2500 0.2500  6 P 2.43
P: 0.5178 0.5178 0.5178  3 Ru 2.43
Sb: 0.7500 0.7500 0.7500  6 P 3.07, 6 Sb 3.18